# 1
CaNd12Dy2 | GGA-PBE | optimized geometry

Density of states at the Fermi level: 21.26 states/eV/f.u.
Space group: Cmme (67)
Energy relative to the elements: 0.15 eV per atom

Geometry as CIF:
```
data_CaNd12Dy2
_chemical_formula_sum 'Ca2 Nd24 Dy4'
_cell_length_a 6.868
_cell_length_b 6.868
_cell_length_c 25.503
_cell_angle_alpha 90.00
_cell_angle_beta 90.00
_cell_angle_gamma 116.74
_symmetry_space_group_name_H-M 'P 1'
_symmetry_Int_Tables_number 1
_symmetry_space_group_name_Hall 'P 1'
loop_
_atom_site_label
_atom_site_type_symbol
_atom_site_fract_x
_atom_site_fract_y
_atom_site_fract_z
_atom_site_occupancy
Ca1 Ca 0.250 0.750 0.000 1
Ca2 Ca 0.750 0.250 0.000 1
Nd1 Nd 0.001 0.501 0.139 1
Nd2 Nd 0.001 0.999 0.918 1
Nd3 Nd 0.019 0.519 0.583 1
Nd4 Nd 0.024 0.976 0.441 1
Nd5 Nd 0.250 0.250 0.203 1
Nd6 Nd 0.250 0.250 0.328 1
Nd7 Nd 0.250 0.250 0.672 1
Nd8 Nd 0.250 0.250 0.797 1
Nd9 Nd 0.476 0.524 0.441 1
Nd10 Nd 0.481 0.981 0.583 1
Nd11 Nd 0.499 0.501 0.918 1
Nd12 Nd 0.499 0.999 0.139 1
Nd13 Nd 0.501 0.001 0.861 1
Nd14 Nd 0.501 0.499 0.082 1
Nd15 Nd 0.519 0.019 0.417 1
Nd16 Nd 0.524 0.476 0.559 1
Nd17 Nd 0.750 0.750 0.203 1
Nd18 Nd 0.750 0.750 0.328 1
Nd19 Nd 0.750 0.750 0.672 1
Nd20 Nd 0.750 0.750 0.797 1
Nd21 Nd 0.976 0.024 0.559 1
Nd22 Nd 0.981 0.481 0.417 1
Nd23 Nd 0.999 0.001 0.082 1
Nd24 Nd 0.999 0.499 0.861 1
Dy1 Dy 0.250 0.750 0.275 1
Dy2 Dy 0.250 0.750 0.729 1
Dy3 Dy 0.750 0.250 0.271 1
Dy4 Dy 0.750 0.250 0.725 1
```

=====

# 2
NaBiTe2 | GGA-PBE | optimized geometry

Electronic total energy: -2.82 eV/atom
Density of states at the Fermi level: 1.36 states/eV/f.u.
Space group: R-3m (166)

Geometry as CIF:
```
data_NaBiTe2
_chemical_formula_sum 'Na1 Bi1 Te2'
_cell_length_a 11.312
_cell_length_b 11.312
_cell_length_c 11.312
_cell_angle_alpha 18.63
_cell_angle_beta 18.63
_cell_angle_gamma 18.63
_symmetry_space_group_name_H-M 'P 1'
_symmetry_Int_Tables_number 1
_symmetry_space_group_name_Hall 'P 1'
loop_
_atom_site_label
_atom_site_type_symbol
_atom_site_fract_x
_atom_site_fract_y
_atom_site_fract_z
_atom_site_occupancy
Na1 Na 0.000 0.000 0.000 1
Bi1 Bi 0.500 0.500 0.500 1
Te1 Te 0.089 0.089 0.089 1
Te2 Te 0.911 0.911 0.911 1
```

=====

# 3
LaNdHo5Tm2 | GGA-PBE | optimized geometry

Density of states at the Fermi level: 13.17 states/eV/f.u.
Space group: I4/mcm (140)
Energy relative to the elements: 0.28 eV per atom

Geometry as CIF:
```
data_LaNdHo5Tm2
_chemical_formula_sum 'La2 Nd2 Ho10 Tm4'
_cell_length_a 9.721
_cell_length_b 9.721
_cell_length_c 9.721
_cell_angle_alpha 125.10
_cell_angle_beta 125.10
_cell_angle_gamma 81.37
_symmetry_space_group_name_H-M 'P 1'
_symmetry_Int_Tables_number 1
_symmetry_space_group_name_Hall 'P 1'
loop_
_atom_site_label
_atom_site_type_symbol
_atom_site_fract_x
_atom_site_fract_y
_atom_site_fract_z
_atom_site_occupancy
La1 La 0.250 0.250 0.000 1
La2 La 0.750 0.750 0.000 1
Nd1 Nd 0.250 0.750 0.500 1
Nd2 Nd 0.750 0.250 0.500 1
Ho1 Ho 0.000 0.000 0.000 1
Ho2 Ho 0.073 0.573 0.902 1
Ho3 Ho 0.171 0.073 0.500 1
Ho4 Ho 0.329 0.829 0.902 1
Ho5 Ho 0.427 0.329 0.500 1
Ho6 Ho 0.500 0.500 0.000 1
Ho7 Ho 0.573 0.671 0.500 1
Ho8 Ho 0.671 0.171 0.098 1
Ho9 Ho 0.829 0.927 0.500 1
Ho10 Ho 0.927 0.427 0.098 1
Tm1 Tm 0.113 0.387 0.500 1
Tm2 Tm 0.387 0.887 0.275 1
Tm3 Tm 0.613 0.113 0.725 1
Tm4 Tm 0.887 0.613 0.500 1
```

=====

# 4
AlCdRe2O | GGA-PBE | optimized geometry

Electronic total energy: -5.82 eV/atom
Density of states at the Fermi level: 4.96 states/eV/f.u.
Space group: P4/mmm (123)

Geometry as CIF:
```
data_AlCdRe2O
_chemical_formula_sum 'Al1 Cd1 Re2 O1'
_cell_length_a 4.994
_cell_length_b 4.994
_cell_length_c 3.378
_cell_angle_alpha 90.00
_cell_angle_beta 90.00
_cell_angle_gamma 90.00
_symmetry_space_group_name_H-M 'P 1'
_symmetry_Int_Tables_number 1
_symmetry_space_group_name_Hall 'P 1'
loop_
_atom_site_label
_atom_site_type_symbol
_atom_site_fract_x
_atom_site_fract_y
_atom_site_fract_z
_atom_site_occupancy
Al1 Al 0.000 0.000 0.000 1
Cd1 Cd 0.500 0.500 0.500 1
Re1 Re 0.000 0.500 0.000 1
Re2 Re 0.500 0.000 0.000 1
O1 O 0.000 0.000 0.500 1
```

=====

# 5
Y5MgCd6 | GGA-PBE | optimized geometry

Density of states at the Fermi level: 9.24 states/eV/f.u.
Space group: Immm (71)
Energy relative to the elements: -0.33 eV per atom

Geometry as CIF:
```
data_Y5MgCd6
_chemical_formula_sum 'Y5 Mg1 Cd6'
_cell_length_a 9.090
_cell_length_b 9.090
_cell_length_c 9.090
_cell_angle_alpha 146.72
_cell_angle_beta 131.38
_cell_angle_gamma 60.20
_symmetry_space_group_name_H-M 'P 1'
_symmetry_Int_Tables_number 1
_symmetry_space_group_name_Hall 'P 1'
loop_
_atom_site_label
_atom_site_type_symbol
_atom_site_fract_x
_atom_site_fract_y
_atom_site_fract_z
_atom_site_occupancy
Y1 Y 0.000 0.000 0.000 1
Y2 Y 0.168 0.668 0.500 1
Y3 Y 0.334 0.334 0.000 1
Y4 Y 0.666 0.666 0.000 1
Y5 Y 0.832 0.332 0.500 1
Mg1 Mg 0.500 0.000 0.500 1
Cd1 Cd 0.096 0.838 0.258 1
Cd2 Cd 0.261 0.500 0.761 1
Cd3 Cd 0.420 0.162 0.258 1
Cd4 Cd 0.580 0.838 0.742 1
Cd5 Cd 0.739 0.500 0.239 1
Cd6 Cd 0.904 0.162 0.742 1
```

=====

# 6
Sc2TlMo | GGA-PBE | optimized geometry

Density of states at the Fermi level: 5.18 states/eV/f.u.
Space group: F-43m (216)
Energy relative to the elements: 0.23 eV per atom

Geometry as CIF:
```
data_Sc2TlMo
_chemical_formula_sum 'Sc2 Tl1 Mo1'
_cell_length_a 4.861
_cell_length_b 4.861
_cell_length_c 4.861
_cell_angle_alpha 60.00
_cell_angle_beta 60.00
_cell_angle_gamma 60.00
_symmetry_space_group_name_H-M 'P 1'
_symmetry_Int_Tables_number 1
_symmetry_space_group_name_Hall 'P 1'
loop_
_atom_site_label
_atom_site_type_symbol
_atom_site_fract_x
_atom_site_fract_y
_atom_site_fract_z
_atom_site_occupancy
Sc1 Sc 0.000 0.000 0.000 1
Sc2 Sc 0.250 0.250 0.250 1
Tl1 Tl 0.750 0.750 0.750 1
Mo1 Mo 0.500 0.500 0.500 1
```

=====

Question: What is the density of states at the Fermi level in the fifth record?
Answer: 9.24 states/eV/f.u.

=====

Question: What is the density of states at the Fermi level in the sixth record?
Answer: 5.18 states/eV/f.u.

=====

Question: Among the records above, which one has the lowest density of states at the Fermi level?
Answer: NaBiTe2